{
  "formula": "CaSbOs2",
  "functional": "PBE-GGA",
  "state": "relaxed",
  "raw_formation_energy_ev_per_fu": 2.02,
  "m_tot_mub_per_fu": 0.000,
  "cell": [[-0.2847, -2.8847, -3.6888], [-1.7144, -1.9598, 1.6649], [-4.6025, 2.5809, -1.6631]],
  "species": ["Sb", "Ca", "Os", "Os"],
  "frac_coords": [[0.5000, 0.2500, 0.2500], [0.5000, 0.7500, 0.7500], [0.0000, 0.2481, 0.9607], [0.0000, 0.2519, 0.5393]]
}

---

{
  "formula": "TaCr2Co",
  "functional": "PBE-GGA",
  "state": "relaxed",
  "delta_e_f_ev_per_atom": 0.098,
  "e_above_lowest_polymorph_ev_per_fu": 0.36,
  "m_tot_mub_per_fu": 1.692,
  "cell": [[-3.1282, 3.0920, 2.0657], [-4.6130, 0.5164, 1.4376], [-0.7237, -0.5895, 4.1279]],
  "species": ["Co", "Cr", "Cr", "Ta"],
  "frac_coords": [[0.2571, 0.2571, 0.2429], [0.0108, 0.0108, 0.9892], [0.7350, 0.7350, 0.7649], [0.4970, 0.4970, 0.5030]]
}

---

{
  "formula": "VGa2Os",
  "functional": "PBE-GGA",
  "state": "relaxed",
  "delta_e_f_ev_per_atom": 0.403,
  "e_above_lowest_polymorph_ev_per_fu": 1.81,
  "m_tot_mub_per_fu": 0.958,
  "cell": [[-2.6626, -0.7088, -0.5139], [-1.3604, -1.7065, 1.7587], [-4.2561, 6.5827, 5.3288]],
  "species": ["Os", "Ga", "Ga", "V"],
  "frac_coords": [[0.5000, 0.5000, 0.5000], [0.0912, 0.0912, 0.7265], [0.9088, 0.9088, 0.2735], [0.0000, 0.0000, 0.0000]]
}

---

{
  "formula": "CaCoP2",
  "functional": "PBE-GGA",
  "state": "relaxed",
  "delta_e_f_ev_per_atom": -0.524,
  "e_above_lowest_polymorph_ev_per_fu": 0.71,
  "m_tot_mub_per_fu": 0.000,
  "cell": [[-5.7224, 0.1507, -3.5569], [0.8542, -6.4787, -1.6486], [-4.1225, -4.0681, 0.0752]],
  "species": ["P", "P", "P", "P", "Ca", "Ca", "Co", "Co"],
  "frac_coords": [[0.7210, 0.1250, 0.2500], [0.0290, 0.6250, 0.2500], [0.3750, 0.2790, 0.7500], [0.8750, 0.9710, 0.7500], [0.5000, 0.5000, 0.0000], [0.2500, 0.7500, 0.5000], [0.0000, 0.0000, 0.0000], [0.7500, 0.2500, 0.5000]]
}

---

{
  "formula": "Si2SnRhO",
  "functional": "PBE-GGA",
  "state": "relaxed",
  "raw_formation_energy_ev_per_fu": -3.75,
  "e_above_lowest_polymorph_ev_per_fu": 0.19,
  "m_tot_mub_per_fu": 0.000,
  "cell": [[5.9936, 0.0000, 0.0000], [0.0000, 2.9523, 0.0000], [0.0000, 0.0000, 6.0150]],
  "species": ["Si", "Si", "Sn", "Rh", "O"],
  "frac_coords": [[0.7752, 0.0000, 0.8827], [0.2248, 0.0000, 0.8827], [0.0000, 0.0000, 0.4963], [0.0000, 0.5000, 0.1100], [0.5000, 0.0000, 0.8956]]
}

---

{
  "formula": "Th4Fe2Au",
  "functional": "PBE-GGA",
  "state": "relaxed",
  "delta_e_f_ev_per_atom": -0.271,
  "m_tot_mub_per_fu": 0.000,
  "cell": [[-2.2910, 2.0090, 3.1048], [5.1892, -2.8438, 2.6215], [6.9267, 10.8684, -1.9213]],
  "species": ["Au", "Au", "Fe", "Fe", "Fe", "Fe", "Th", "Th", "Th", "Th", "Th", "Th", "Th", "Th"],
  "frac_coords": [[0.6093, 0.2186, 0.7500], [0.3907, 0.7814, 0.2500], [0.1071, 0.2141, 0.4469], [0.8929, 0.7859, 0.9469], [0.1071, 0.2141, 0.0531], [0.8929, 0.7859, 0.5531], [0.7732, 0.5463, 0.1109], [0.7732, 0.5463, 0.3891], [0.2268, 0.4537, 0.8891], [0.2268, 0.4537, 0.6109], [0.9202, 0.8405, 0.7500], [0.0798, 0.1595, 0.2500], [0.5000, 0.0000, 0.0000], [0.5000, 0.0000, 0.5000]]
}

---

{
  "formula": "MgSe4",
  "functional": "PBE-GGA",
  "state": "relaxed",
  "raw_formation_energy_ev_per_fu": -0.64,
  "e_above_lowest_polymorph_ev_per_fu": 0.92,
  "m_tot_mub_per_fu": 0.000,
  "cell": [[-2.7848, 2.7848, 4.3669], [2.7848, -2.7848, 4.3669], [2.7848, 2.7848, -4.3669]],
  "species": ["Mg", "Se", "Se", "Se", "Se"],
  "frac_coords": [[0.0000, 0.0000, 0.0000], [0.7500, 0.2500, 0.5000], [0.2500, 0.7500, 0.5000], [0.7176, 0.7176, 0.0000], [0.2824, 0.2824, 0.0000]]
}

---

{
  "formula": "Ca3YF8",
  "functional": "PBE-GGA",
  "state": "relaxed",
  "raw_formation_energy_ev_per_fu": -45.07,
  "m_tot_mub_per_fu": 0.917,
  "cell": [[5.5446, 0.0000, 0.0000], [0.0000, 5.5446, 0.0000], [0.0000, 0.0000, 5.5446]],
  "species": ["Ca", "Ca", "Ca", "Y", "F", "F", "F", "F", "F", "F", "F", "F"],
  "frac_coords": [[0.5000, 0.5000, 0.0000], [0.5000, 0.0000, 0.5000], [0.0000, 0.5000, 0.5000], [0.0000, 0.0000, 0.0000], [0.2510, 0.2510, 0.7490], [0.2510, 0.7490, 0.2510], [0.7490, 0.2510, 0.2510], [0.7490, 0.7490, 0.7490], [0.7490, 0.7490, 0.2510], [0.7490, 0.2510, 0.7490], [0.2510, 0.7490, 0.7490], [0.2510, 0.2510, 0.2510]]
}

---

{
  "formula": "Ac3PbS",
  "functional": "PBE-GGA",
  "state": "relaxed",
  "raw_formation_energy_ev_per_fu": -4.10,
  "m_tot_mub_per_fu": 0.000,
  "cell": [[5.7310, 0.0000, 0.0000], [0.0000, 5.7310, 0.0000], [0.0000, 0.0000, 5.7310]],
  "species": ["Pb", "Ac", "Ac", "Ac", "S"],
  "frac_coords": [[0.5000, 0.5000, 0.5000], [0.0000, 0.5000, 0.0000], [0.0000, 0.0000, 0.5000], [0.5000, 0.0000, 0.0000], [0.0000, 0.0000, 0.0000]]
}

---

{
  "formula": "AcYAgBi",
  "functional": "PBE-GGA",
  "state": "relaxed",
  "delta_e_f_ev_per_atom": -0.417,
  "m_tot_mub_per_fu": 0.886,
  "cell": [[-5.2706, -1.1392, 1.3958], [-1.1031, -2.6975, 4.7468], [-2.4026, 2.6952, 4.2413]],
  "species": ["Y", "Ac", "Bi", "Ag"],
  "frac_coords": [[0.5000, 0.5000, 0.5000], [0.0000, 0.0000, 0.0000], [0.2500, 0.2500, 0.2500], [0.7500, 0.7500, 0.7500]]
}

---

{
  "formula": "CrPbW",
  "functional": "PBE-GGA",
  "state": "relaxed",
  "delta_e_f_ev_per_atom": 0.715,
  "e_above_lowest_polymorph_ev_per_fu": 0.00,
  "m_tot_mub_per_fu": 0.000,
  "cell": [[3.1370, 0.0000, 0.0000], [-1.5685, 2.7167, 0.0000], [0.0000, 0.0000, 6.7763]],
  "species": ["Cr", "Pb", "W"],
  "frac_coords": [[0.0000, 0.0000, 0.9532], [0.6667, 0.3333, 0.3247], [0.3333, 0.6667, 0.7222]]
}

---

{
  "formula": "PuAl4Ge",
  "functional": "PBE-GGA",
  "state": "relaxed",
  "delta_e_f_ev_per_atom": -0.023,
  "m_tot_mub_per_fu": 6.174,
  "cell": [[5.4634, 0.0000, 0.0000], [2.7317, 4.7314, 0.0000], [2.7317, 1.5771, 4.4608]],
  "species": ["Ge", "Al", "Al", "Al", "Al", "Pu"],
  "frac_coords": [[0.0000, 0.0000, 0.0000], [0.6249, 0.6249, 0.1253], [0.6249, 0.1253, 0.6249], [0.6249, 0.6249, 0.6249], [0.1253, 0.6249, 0.6249], [0.2500, 0.2500, 0.2500]]
}

---

{
  "formula": "KCa2F",
  "functional": "PBE-GGA",
  "state": "relaxed",
  "raw_formation_energy_ev_per_fu": -1.33,
  "e_above_lowest_polymorph_ev_per_fu": 3.71,
  "m_tot_mub_per_fu": 0.000,
  "cell": [[0.0000, 4.2691, 4.2691], [4.2691, 0.0000, 4.2691], [4.2691, 4.2691, 0.0000]],
  "species": ["Ca", "Ca", "K", "F"],
  "frac_coords": [[0.2500, 0.2500, 0.2500], [0.7500, 0.7500, 0.7500], [0.5000, 0.5000, 0.5000], [0.0000, 0.0000, 0.0000]]
}